Record 1
Here is a crystal of BaTa2Te relaxed with PBEsol from Alexandria via LeMat-Bulk. Energies are from meta-GGA SCAN.

Properties
For the volume, the calculation gives 98.9 Å³ per cell. The formation energy (no corrections) comes out at 0.653 eV per atom. As for the space group: P4/mmm. Its total DFT energy (no corrections) is -51.839 eV/atom.

Cell lengths 3.676, 3.676, 7.319 Å; angles 90.00, 90.00, 90.00 degrees
Positions (direct):
Ba  0.000  0.000  0.000
Ta  0.500  0.500  0.327
Ta  0.500  0.500  0.673
Te  0.000  0.000  0.500

=====

Record 2
Here is a crystal of BaTa2Te relaxed with PBEsol from Alexandria via LeMat-Bulk. Energies are from meta-GGA SCAN.

Properties
For the volume, the calculation gives 186.5 Å³ per cell. The formation energy (no corrections) comes out at 1.070 eV per atom. As for the space group: I4/mmm. Its total DFT energy (no corrections) is -51.422 eV/atom.

Cell lengths 4.394, 4.394, 9.660 Å; angles 90.00, 90.00, 90.00 degrees
Positions (direct):
Ba  0.000  0.000  0.000
Ba  0.500  0.500  0.500
Ta  0.000  0.500  0.250
Ta  0.000  0.500  0.750
Ta  0.500  0.000  0.250
Ta  0.500  0.000  0.750
Te  0.000  0.000  0.500
Te  0.500  0.500  0.000

=====

Record 3
Here is a crystal of BaTaZn2Te relaxed with PBEsol from Alexandria via LeMat-Bulk. Energies are from meta-GGA SCAN.

Properties
For the volume, the calculation gives 194.5 Å³ per cell. The formation energy (no corrections) comes out at 1.690 eV per atom. As for the space group: P4/mmm. Its total DFT energy (no corrections) is -32.393 eV/atom.

Cell lengths 5.584, 5.584, 6.237 Å; angles 90.00, 90.00, 90.00 degrees
Positions (direct):
Ba  0.000  0.000  0.000
Ta  0.500  0.500  0.500
Zn  0.000  0.500  0.000
Zn  0.500  0.000  0.000
Te  0.000  0.000  0.500

=====

N(E_F) per entry: 3.52; 8.39; 4.24 states/eV per cell